[1]
# Na2ZrAs2O6, optimized geometry, DFT PBE
# Energy relative to the elements, uncorrected (eV/atom): -1.97
# M_tot (μB per formula unit): 0.00
# Raw total energy (eV per atom): -6.53
# Fermi-level density of states (states/eV/cell): 0.0
data_Na2ZrAs2O6
_chemical_formula_sum 'Na4 Zr2 As4 O12'
_cell_length_a 9.672
_cell_length_b 5.706
_cell_length_c 6.467
_cell_angle_alpha 90.00
_cell_angle_beta 90.31
_cell_angle_gamma 90.00
_space_group_name_H-M_alt 'C 1 2/m 1'
_space_group_IT_number 12
_space_group_name_Hall '-C 2y'
loop_
_atom_site_label
_atom_site_type_symbol
_atom_site_fract_x
_atom_site_fract_y
_atom_site_fract_z
Na1 Na 0.157 0.000 0.168
Zr1 Zr 0.000 0.500 0.000
As1 As 0.160 0.000 0.685
O1 O 0.062 0.234 0.793
O2 O 0.199 0.500 0.132



[2]
# NaZr2As3O12, optimized geometry, DFT PBE
# Energy relative to the elements, uncorrected (eV/atom): -2.04
# M_tot (μB per formula unit): 0.00
# Raw total energy (eV per atom): -7.14
# Fermi-level density of states (states/eV/cell): 0.0
data_NaZr2As3O12
_chemical_formula_sum 'Na6 Zr12 As18 O72'
_cell_length_a 9.3354
_cell_length_b 9.3354
_cell_length_c 23.4635
_cell_angle_alpha 90.00
_cell_angle_beta 90.00
_cell_angle_gamma 120.00
_space_group_name_H-M_alt 'R -3 c'
_space_group_IT_number 167
_space_group_name_Hall '-R 3 2"c'
loop_
_atom_site_label
_atom_site_type_symbol
_atom_site_fract_x
_atom_site_fract_y
_atom_site_fract_z
Na1 Na 0.0000 0.0000 0.0000
Zr1 Zr 0.0000 0.0000 0.1432
As1 As 0.0000 0.2911 0.2500
O1 O 0.0117 0.1925 0.1904
O2 O 0.0226 0.1835 0.9165